TbNiPd2, relaxed, DFT PBE; space-group type = R-3m, No. 166; energy = -5.706 eV per atom; ΔE to the lowest computed polymorph = 0.49 eV per formula unit; theoretical density = 9.77 g/cm³
1.0
4.3478 0.0000 0.0000
2.1739 3.7653 0.0000
2.1739 1.2551 4.4681
Ni Tb Pd
1 1 2
direct
0.5000 0.5000 0.5000 Ni
0.0000 0.0000 0.0000 Tb
0.7860 0.7860 0.6421 Pd
0.2140 0.2140 0.3579 Pd